Here is ReRh3S after structural relaxation from Alexandria via LeMat-Bulk. Energies are from PBE.

Unit cell a=4.7001 b=4.7001 c=4.7001 alpha=90.00 beta=90.00 gamma=90.00
Last column: nearest neighbours and their distance in Å.
Element x y z (fractional)
Re  0.0000  0.0000  0.0000  6 Rh 2.35
S  0.5000  0.5000  0.5000  12 Rh 3.32
Rh  0.0000  0.5000  0.0000  2 Re 2.35
Rh  0.0000  0.0000  0.5000  2 Re 2.35
Rh  0.5000  0.0000  0.0000  2 Re 2.35

Computed properties:
- V: 103.8 Å³/f.u.
- Calculated total energy: -31.38 eV/cell
- DOS(E_F): 6.2 states/eV/cell